Record 1
Computed, not measured: a relaxed In8Se crystal at the GGA-PBE level of DFT.

Calculated values
Total moment   0.00 μB/f.u.
Symmetry   I4/mmm, No. 139
E_form (uncorrected)   -0.3 eV per formula unit

Unit cell a=8.1866 b=8.1866 c=8.1866 alpha=93.18 beta=93.18 gamma=152.75
Sites, in units of the cell vectors:
In (0.0000, 0.3365, 0.3365)
In (0.0000, 0.6635, 0.6635)
In (0.3365, 0.0000, 0.3365)
In (0.3422, 0.3422, 0.6845)
In (0.3422, 0.6578, 0.0000)
In (0.6578, 0.3422, 0.0000)
In (0.6578, 0.6578, 0.3155)
In (0.6635, 0.0000, 0.6635)
Se (0.0000, 0.0000, 0.0000)

***

Record 2
Computed, not measured: a relaxed ZrBeZn3 crystal at the GGA-PBE level of DFT.

Calculated values
Polymorph energy (0 for the lowest one)   1362 meV/atom
Total moment   1.50 μB/f.u.
Symmetry   Pm-3m, No. 221

Unit cell a=5.2510 b=5.2510 c=5.2510 alpha=90.00 beta=90.00 gamma=90.00
Sites, in units of the cell vectors:
Zr (0.0000, 0.0000, 0.0000)
Be (0.5000, 0.5000, 0.5000)
Zn (0.0000, 0.0000, 0.5000)
Zn (0.0000, 0.5000, 0.0000)
Zn (0.5000, 0.0000, 0.0000)

***

Record 3
Computed, not measured: a relaxed TlBi5Pb4 crystal at the GGA-PBE level of DFT.

Calculated values
Total moment   0.00 μB/f.u.
Symmetry   Pmmn, No. 59
Calculated total energy   -3.58 eV/atom

Unit cell a=10.5971 b=14.4406 c=4.6206 alpha=90.00 beta=90.00 gamma=90.00
Sites, in units of the cell vectors:
Tl (0.2500, 0.2500, 0.2492)
Tl (0.7500, 0.7500, 0.7508)
Bi (0.0037, 0.5817, 0.7498)
Bi (0.0037, 0.9183, 0.7498)
Bi (0.2500, 0.7500, 0.7516)
Bi (0.4963, 0.5817, 0.7498)
Bi (0.4963, 0.9183, 0.7498)
Bi (0.5037, 0.0817, 0.2502)
Bi (0.5037, 0.4183, 0.2502)
Bi (0.7500, 0.2500, 0.2484)
Bi (0.9963, 0.0817, 0.2502)
Bi (0.9963, 0.4183, 0.2502)
Pb (0.0079, 0.2500, 0.7497)
Pb (0.2500, 0.5672, 0.2504)
Pb (0.2500, 0.9328, 0.2504)
Pb (0.4921, 0.2500, 0.7497)
Pb (0.5079, 0.7500, 0.2503)
Pb (0.7500, 0.0672, 0.7496)
Pb (0.7500, 0.4328, 0.7496)
Pb (0.9921, 0.7500, 0.2503)

***

Record 4
Computed, not measured: a relaxed ZnFe2 crystal at the GGA-PBE level of DFT.

Calculated values
Total moment   4.51 μB/f.u.
Symmetry   Cmcm, No. 63
Calculated total energy   -6.05 eV/atom

Unit cell a=5.0258 b=5.0258 c=3.9822 alpha=90.00 beta=90.00 gamma=133.18
Sites, in units of the cell vectors:
Zn (0.0839, 0.9161, 0.7500)
Zn (0.9161, 0.0839, 0.2500)
Fe (0.2519, 0.7481, 0.2500)
Fe (0.4070, 0.5930, 0.7500)
Fe (0.5930, 0.4070, 0.2500)
Fe (0.7481, 0.2519, 0.7500)